SrMoWO2: optimized geometry, GGA+U.

- Excess energy over the best structure of this formula in the dataset: 0.00 eV per formula unit
- Raw total energy: -27.5 eV for the cell shown
- Total moment: 2.37 μB per formula unit
- Mass density: 6.85 g cm⁻³
- DOS at the Fermi energy: 1.43 states/eV per cell

Lattice parameters (Å, degrees): 4.218 4.218 5.441 90.00 90.00 90.00
Element x y z (fractional)
Sr 0.000 0.000 0.000
Mo 0.500 0.500 0.000
W 0.500 0.500 0.500
O 0.000 0.500 0.500
O 0.500 0.000 0.500